[1]
The following is a PBE calculation of a geometry-optimized PmTh2Rh9 structure, from Alexandria.

Computed properties:
Crystal system: trigonal
Formation enthalpy at 0 K, eV per atom: -0.601

Unit cell a=9.424 b=9.424 c=9.424 alpha=32.75 beta=32.75 gamma=32.75
Atoms (fractional coordinates):
1 Pm 0.000 0.000 0.000
2 Th 0.137 0.137 0.137
3 Th 0.863 0.863 0.863
4 Rh 0.081 0.583 0.583
5 Rh 0.333 0.333 0.333
6 Rh 0.417 0.417 0.919
7 Rh 0.417 0.919 0.417
8 Rh 0.500 0.500 0.500
9 Rh 0.583 0.081 0.583
10 Rh 0.583 0.583 0.081
11 Rh 0.667 0.667 0.667
12 Rh 0.919 0.417 0.417

[2]
The following is a PBE calculation of a geometry-optimized ZrTiO2F structure, from Alexandria.

Computed properties:
Crystal system: tetragonal
Formation energy (no corrections), meV/atom: -2038.1

Unit cell a=4.180 b=4.180 c=4.195 alpha=90.00 beta=90.00 gamma=90.00
Atoms (fractional coordinates):
1 Zr 0.000 0.000 0.000
2 Ti 0.500 0.500 0.500
3 O 0.000 0.500 0.000
4 O 0.500 0.000 0.000
5 F 0.000 0.000 0.500

[3]
The following is a PBE calculation of a geometry-optimized KSnF3 structure, from Alexandria.

Computed properties:
Crystal system: triclinic
Formation energy (no corrections), meV/atom: -2545.6

Unit cell a=8.207 b=10.182 c=10.484 alpha=79.49 beta=72.40 gamma=74.14
Atoms (fractional coordinates):
1 K 0.034 0.380 0.368
2 K 0.238 0.528 0.989
3 K 0.248 0.010 0.490
4 K 0.452 0.650 0.604
5 K 0.548 0.350 0.396
6 K 0.752 0.990 0.510
7 K 0.762 0.472 0.011
8 K 0.966 0.620 0.632
9 Sn 0.049 0.124 0.144
10 Sn 0.227 0.252 0.748
11 Sn 0.286 0.724 0.259
12 Sn 0.468 0.854 0.871
13 Sn 0.532 0.146 0.129
14 Sn 0.714 0.276 0.741
15 Sn 0.773 0.748 0.252
16 Sn 0.951 0.876 0.856
17 F 0.052 0.631 0.236
18 F 0.069 0.327 0.066
19 F 0.084 0.868 0.366
20 F 0.117 0.805 0.676
21 F 0.203 0.802 0.921
22 F 0.241 0.276 0.544
23 F 0.246 0.154 0.249
24 F 0.269 0.580 0.428
25 F 0.272 0.446 0.742
26 F 0.440 0.902 0.676
27 F 0.455 0.358 0.149
28 F 0.456 0.794 0.350
29 F 0.544 0.206 0.650
30 F 0.545 0.642 0.851
31 F 0.560 0.098 0.324
32 F 0.728 0.554 0.258
33 F 0.731 0.420 0.572
34 F 0.754 0.846 0.751
35 F 0.759 0.724 0.456
36 F 0.797 0.198 0.079
37 F 0.883 0.195 0.324
38 F 0.916 0.132 0.634
39 F 0.931 0.673 0.934
40 F 0.948 0.369 0.764

no.,theoretical density (g/cm³),E (eV per atom)
1,11.70,-7.748
2,4.31,-7.684
3,3.57,-4.688